LaTb12Pm3 | GGA-PBE | relaxed

Calculated values
DOS at the Fermi energy   1.431 states/eV/atom
Energy of formation from the pure elements   0.019 eV per atom
E_tot   -0.3419 Ry/atom

a b c (Å): 5.078 5.078 20.305
angles (deg): 90.00 90.00 90.00
Positions (direct):
La  0.000  0.000  0.000
Tb  0.000  0.500  0.127
Tb  0.000  0.500  0.375
Tb  0.000  0.500  0.625
Tb  0.000  0.500  0.873
Tb  0.500  0.000  0.127
Tb  0.500  0.000  0.375
Tb  0.500  0.000  0.625
Tb  0.500  0.000  0.873
Tb  0.500  0.500  0.000
Tb  0.500  0.500  0.251
Tb  0.500  0.500  0.500
Tb  0.500  0.500  0.749
Pm  0.000  0.000  0.250
Pm  0.000  0.000  0.500
Pm  0.000  0.000  0.750